1.
VASP calculation (GGA-PBE) on K2CoW after structural relaxation.

extended XYZ file:
```
4
Lattice="2.757 0.000 0.000 0.000 2.757 0.000 0.000 0.000 11.561" Properties=species:S:1:pos:R:3 pbc="T T T"
K 0.000 0.000 2.737
K 0.000 0.000 8.824
Co 1.379 1.379 0.000
W 1.379 1.379 5.781
```

Values from the calculation:
DOS(E_F): 4.5 states/eV/cell
E_form: 1.5052 eV per atom
Density: 6.06 g/cm³
Raw total energy: -4.0583 eV per atom
Space-group type: P4/mmm, No. 123
ΔE to the lowest computed polymorph: 657.4 meV per atom


2.
VASP calculation (GGA-PBE) on Ce2Ga5Rh after structural relaxation.

extended XYZ file:
```
8
Lattice="-3.081 3.081 4.450 3.081 -3.081 4.450 3.081 3.081 -4.450" Properties=species:S:1:pos:R:3 pbc="T T T"
Ce 3.081 0.000 0.000
Ce 0.000 3.081 0.000
Ga 0.000 0.000 0.206
Ga 1.758 1.758 -2.249
Ga 1.323 -1.323 2.201
Ga -1.323 1.323 2.201
Ga 1.323 1.323 2.201
Rh 0.000 0.000 6.662
```

Values from the calculation:
DOS(E_F): 12.8 states/eV/cell
E_form: -0.5063 eV per atom
Density: 7.19 g/cm³
Raw total energy: -4.8005 eV per atom
Space-group type: I4mm, No. 107


3.
VASP calculation (GGA-PBE) on La4PrZn after structural relaxation.

extended XYZ file:
```
6
Lattice="5.307 0.000 0.000 0.000 5.300 0.000 -0.002 0.000 7.887" Properties=species:S:1:pos:R:3 pbc="T T T"
La 0.000 0.000 0.000
La 0.001 0.000 3.552
La 2.652 2.650 7.883
La 2.655 2.650 3.553
Pr 0.003 2.650 5.716
Zn 2.656 0.000 1.777
```

Values from the calculation:
DOS(E_F): 11.4 states/eV/cell
E_form: 0.2941 eV per atom
Density: 5.70 g/cm³
Raw total energy: -3.9998 eV per atom
Space-group type: Pm, No. 6
ΔE to the lowest computed polymorph: 395.5 meV per atom